A plane-wave DFT calculation with SCAN was carried out for a PBEsol-optimized structure of Li15Bi4Pd2O20.

Output
Symmetry: P1, No. 1
DOS(E_F): 6.8 states/eV/cell
Raw formation energy: -150.8 kJ/mol of atoms
Total energy: -604.4 eV for the cell shown

abc: 5.299 7.999 11.026
angles: 92.71 103.59 103.93
Sites, in units of the cell vectors:
1 Li 0.466 0.874 0.088
2 Bi 0.000 0.094 0.280
3 Pd 0.998 0.006 0.000
4 O 0.769 0.107 0.090
5 O 0.246 0.335 0.252
6 O 0.257 0.159 0.735
7 O 0.236 0.804 0.629
8 O 0.801 0.034 0.836
9 Li 0.996 0.550 0.618
10 O 0.251 0.702 0.358
11 O 0.724 0.392 0.913
12 Li 0.009 0.461 0.390
13 O 0.804 0.644 0.737
14 Li 0.975 0.188 0.544
15 Li 0.018 0.815 0.461
16 Li 0.509 0.960 0.392
17 Li 0.537 0.309 0.464
18 Li 0.486 0.039 0.619
19 O 0.750 0.562 0.446
20 Li 0.527 0.117 0.901
21 Bi 0.501 0.593 0.281
22 Bi 0.503 0.411 0.721
23 O 0.270 0.496 0.838
24 O 0.214 0.980 0.165
25 Bi 0.000 0.902 0.720
26 O 0.251 0.068 0.446
27 O 0.752 0.203 0.359
28 Li 0.457 0.697 0.542
29 O 0.249 0.440 0.555
30 O 0.221 0.901 0.915
31 O 0.740 0.292 0.640
32 Pd 0.500 0.494 0.001
33 Li 0.968 0.374 0.089
34 Li 0.517 0.227 0.196
35 Li 0.014 0.728 0.197
36 O 0.747 0.837 0.258
37 Li 0.052 0.629 0.903
38 O 0.725 0.484 0.167
39 O 0.742 0.933 0.555
40 Li 0.986 0.269 0.797
41 O 0.277 0.604 0.089

***

A plane-wave DFT calculation with SCAN was carried out for a PBEsol-optimized structure of LiSi2BiO6.

Output
Symmetry: C2/c, No. 15
DOS(E_F): 0.0 states/eV/cell
Raw formation energy: -236.5 kJ/mol of atoms
Total energy: -325.8 eV for the cell shown

abc: 5.473 7.041 7.041
angles: 88.03 75.88 75.88
Sites, in units of the cell vectors:
1 Li 0.250 0.760 0.240
2 Si 0.795 0.778 0.615
3 O 0.949 0.367 0.326
4 Li 0.750 0.240 0.760
5 O 0.310 0.033 0.231
6 O 0.551 0.674 0.633
7 O 0.107 0.165 0.611
8 O 0.893 0.835 0.389
9 O 0.051 0.633 0.674
10 O 0.810 0.231 0.033
11 Si 0.705 0.385 0.222
12 Bi 0.750 0.879 0.121
13 O 0.449 0.326 0.367
14 O 0.190 0.769 0.967
15 O 0.690 0.967 0.769
16 O 0.607 0.611 0.165
17 O 0.393 0.389 0.835
18 Si 0.205 0.222 0.385
19 Si 0.295 0.615 0.778
20 Bi 0.250 0.121 0.879

***

A plane-wave DFT calculation with SCAN was carried out for a PBEsol-optimized structure of LiSi3BiO8.

Output
Symmetry: P1, No. 1
DOS(E_F): 0.0 states/eV/cell
Raw formation energy: -245.0 kJ/mol of atoms
Total energy: -387.7 eV for the cell shown

abc: 7.076 7.351 7.718
angles: 112.66 106.55 99.09
Sites, in units of the cell vectors:
1 O 0.848 0.338 0.139
2 Bi 0.115 0.278 0.362
3 O 0.381 0.073 0.334
4 O 0.666 0.756 0.942
5 O 0.745 0.056 0.323
6 O 0.729 0.336 0.682
7 Si 0.381 0.784 0.554
8 O 0.692 0.662 0.249
9 Bi 0.845 0.735 0.746
10 Si 0.628 0.212 0.444
11 O 0.161 0.279 0.658
12 O 0.019 0.894 0.244
13 O 0.315 0.579 0.583
14 Si 0.652 0.411 0.168
15 Si 0.214 0.144 0.783
16 Li 0.811 0.197 0.843
17 Si 0.219 0.833 0.195
18 Si 0.768 0.833 0.182
19 O 0.295 0.695 0.304
20 O 0.436 0.293 0.973
21 O 0.170 0.733 0.958
22 O 0.626 0.900 0.654
23 O 0.623 0.392 0.365
24 O 0.041 0.075 0.866
25 O 0.248 0.932 0.638
26 Li 0.336 0.577 0.831

***

A plane-wave DFT calculation with SCAN was carried out for a PBEsol-optimized structure of LiSiBiO4.

Output
Symmetry: P2_1/c, No. 14
DOS(E_F): 0.0 states/eV/cell
Raw formation energy: -208.1 kJ/mol of atoms
Total energy: -524.0 eV for the cell shown

abc: 5.737 6.397 10.088
angles: 90.00 94.35 90.00
Sites, in units of the cell vectors:
1 O 0.312 0.188 0.957
2 Li 0.855 0.636 0.446
3 Si 0.561 0.303 0.363
4 Li 0.645 0.136 0.054
5 O 0.478 0.534 0.310
6 O 0.030 0.342 0.729
7 O 0.022 0.034 0.190
8 O 0.522 0.466 0.690
9 Si 0.061 0.197 0.863
10 Bi 0.325 0.837 0.359
11 O 0.970 0.658 0.271
12 O 0.621 0.801 0.533
13 O 0.978 0.966 0.810
14 O 0.379 0.199 0.467
15 Bi 0.825 0.663 0.859
16 O 0.470 0.842 0.771
17 Bi 0.675 0.163 0.641
18 O 0.879 0.301 0.967
19 O 0.188 0.688 0.543
20 Li 0.145 0.364 0.554
21 Si 0.439 0.697 0.637
22 O 0.688 0.812 0.043
23 Bi 0.175 0.337 0.141
24 O 0.812 0.312 0.457
25 O 0.530 0.158 0.229
26 Si 0.939 0.803 0.137
27 O 0.121 0.699 0.033
28 Li 0.355 0.864 0.946

***

A plane-wave DFT calculation with SCAN was carried out for a PBEsol-optimized structure of LiSiBiO4.

Output
Symmetry: Pna2_1, No. 33
DOS(E_F): 0.0 states/eV/cell
Raw formation energy: -208.6 kJ/mol of atoms
Total energy: -524.2 eV for the cell shown

abc: 5.176 7.438 10.501
angles: 90.00 90.00 90.00
Sites, in units of the cell vectors:
1 Li 0.753 0.984 0.658
2 Si 0.748 0.786 0.394
3 O 0.884 0.544 0.819
4 O 0.808 0.713 0.045
5 O 0.308 0.287 0.955
6 O 0.808 0.787 0.545
7 O 0.308 0.213 0.455
8 O 0.940 0.289 0.144
9 O 0.858 0.591 0.334
10 O 0.384 0.456 0.181
11 Si 0.748 0.714 0.894
12 Bi 0.263 0.984 0.870
13 O 0.858 0.909 0.834
14 Li 0.753 0.516 0.158
15 Si 0.248 0.214 0.606
16 O 0.358 0.091 0.166
17 Bi 0.263 0.516 0.370
18 Bi 0.763 0.484 0.630
19 O 0.440 0.789 0.356
20 Si 0.248 0.286 0.106
21 O 0.440 0.711 0.856
22 O 0.384 0.044 0.681
23 O 0.940 0.211 0.644
24 Bi 0.763 0.016 0.130
25 O 0.358 0.409 0.666
26 O 0.884 0.956 0.319
27 Li 0.253 0.016 0.342
28 Li 0.253 0.484 0.842

***

A plane-wave DFT calculation with SCAN was carried out for a PBEsol-optimized structure of LiSi6BiO14.

Output
Symmetry: Ibam, No. 72
DOS(E_F): 0.0 states/eV/cell
Raw formation energy: -267.9 kJ/mol of atoms
Total energy: -1157.5 eV for the cell shown

abc: 7.599 13.019 13.019
angles: 72.64 73.03 73.03
Sites, in units of the cell vectors:
1 O 0.764 0.539 0.799
2 O 0.786 0.687 0.441
3 O 0.619 0.697 0.644
4 O 0.914 0.559 0.313
5 O 0.269 0.917 0.709
6 Si 0.745 0.665 0.335
7 O 0.249 0.230 0.770
8 O 0.264 0.299 0.039
9 Si 0.255 0.335 0.665
10 O 0.105 0.709 0.917
11 O 0.881 0.856 0.803
12 Bi 0.750 0.467 0.033
13 O 0.736 0.701 0.961
14 O 0.602 0.961 0.701
15 O 0.102 0.201 0.461
16 O 0.318 0.512 0.359
17 O 0.381 0.303 0.356
18 O 0.961 0.356 0.303
19 Si 0.291 0.229 0.473
20 Bi 0.750 0.033 0.467
21 O 0.818 0.859 0.012
22 O 0.039 0.644 0.697
23 Si 0.829 0.868 0.132
24 O 0.605 0.417 0.209
25 O 0.075 0.983 0.386
26 O 0.944 0.517 0.114
27 Si 0.494 0.271 0.027
28 O 0.251 0.730 0.270
29 Bi 0.250 0.533 0.967
30 O 0.749 0.270 0.730
31 O 0.414 0.813 0.059
32 O 0.898 0.799 0.539
33 O 0.731 0.083 0.291
34 Si 0.709 0.771 0.527
35 O 0.895 0.291 0.083
36 O 0.682 0.488 0.641
37 Si 0.594 0.075 0.223
38 Si 0.608 0.575 0.723
39 O 0.182 0.141 0.988
40 Li 0.750 0.250 0.250
41 O 0.714 0.059 0.813
42 Si 0.329 0.632 0.368
43 Bi 0.250 0.967 0.533
44 O 0.398 0.039 0.299
45 Si 0.108 0.223 0.075
46 Si 0.506 0.729 0.973
47 Si 0.671 0.368 0.632
48 O 0.751 0.770 0.230
49 O 0.461 0.803 0.856
50 O 0.689 0.988 0.141
51 O 0.286 0.941 0.187
52 Si 0.209 0.027 0.271
53 Si 0.755 0.165 0.835
54 O 0.811 0.359 0.512
55 Si 0.906 0.277 0.425
56 Li 0.500 0.000 0.000
57 O 0.311 0.012 0.859
58 O 0.575 0.886 0.483
59 Si 0.094 0.723 0.575
60 O 0.425 0.114 0.517
61 O 0.231 0.791 0.583
62 O 0.395 0.583 0.791
63 O 0.925 0.017 0.614
64 Si 0.006 0.473 0.229
65 O 0.586 0.187 0.941
66 O 0.556 0.386 0.983
67 Si 0.791 0.973 0.729
68 O 0.056 0.483 0.886
69 O 0.444 0.614 0.017
70 O 0.459 0.365 0.635
71 O 0.041 0.865 0.135
72 O 0.769 0.209 0.417
73 Si 0.171 0.132 0.868
74 Si 0.245 0.835 0.165
75 Si 0.406 0.925 0.777
76 O 0.119 0.144 0.197
77 O 0.959 0.135 0.865
78 O 0.214 0.313 0.559
79 O 0.541 0.635 0.365
80 Si 0.994 0.527 0.771
81 Li 0.000 0.500 0.500
82 O 0.189 0.641 0.488
83 Si 0.392 0.425 0.277
84 O 0.539 0.197 0.144
85 Si 0.892 0.777 0.925
86 Li 0.250 0.750 0.750
87 O 0.236 0.461 0.201
88 O 0.086 0.441 0.687

***

A plane-wave DFT calculation with SCAN was carried out for a PBEsol-optimized structure of LiSi3BiO8.

Output
Symmetry: C2/c, No. 15
DOS(E_F): 0.0 states/eV/cell
Raw formation energy: -247.2 kJ/mol of atoms
Total energy: -776.7 eV for the cell shown

abc: 7.638 7.638 13.124
angles: 94.43 94.43 114.67
Sites, in units of the cell vectors:
1 Si 0.048 0.288 0.397
2 Si 0.315 0.396 0.611
3 O 0.145 0.368 0.519
4 O 0.618 0.478 0.099
5 O 0.210 0.391 0.715
6 O 0.995 0.594 0.127
7 Li 0.615 0.963 0.313
8 Si 0.358 0.178 0.333
9 Si 0.712 0.952 0.103
10 O 0.391 0.210 0.215
11 O 0.818 0.183 0.394
12 Si 0.396 0.315 0.111
13 O 0.609 0.790 0.785
14 O 0.182 0.817 0.606
15 Bi 0.312 0.737 0.455
16 O 0.594 0.995 0.627
17 O 0.860 0.861 0.147
18 O 0.632 0.855 0.981
19 Li 0.963 0.615 0.813
20 Si 0.288 0.048 0.897
21 Bi 0.737 0.312 0.955
22 Si 0.685 0.604 0.389
23 O 0.817 0.182 0.106
24 O 0.406 0.005 0.373
25 O 0.587 0.753 0.396
26 O 0.855 0.632 0.481
27 Si 0.952 0.712 0.603
28 O 0.133 0.482 0.337
29 O 0.753 0.587 0.896
30 O 0.790 0.609 0.285
31 O 0.861 0.860 0.647
32 Si 0.178 0.358 0.833
33 Bi 0.688 0.263 0.545
34 O 0.478 0.618 0.599
35 O 0.247 0.413 0.104
36 O 0.139 0.140 0.353
37 O 0.183 0.818 0.894
38 O 0.867 0.518 0.663
39 O 0.005 0.406 0.873
40 O 0.482 0.133 0.837
41 Bi 0.263 0.688 0.045
42 O 0.518 0.867 0.163
43 O 0.368 0.145 0.019
44 Si 0.822 0.642 0.167
45 O 0.413 0.247 0.604
46 O 0.382 0.522 0.901
47 O 0.140 0.139 0.853
48 Li 0.037 0.385 0.187
49 Li 0.385 0.037 0.687
50 Si 0.642 0.822 0.667
51 Si 0.604 0.685 0.889
52 O 0.522 0.382 0.401

***

A plane-wave DFT calculation with SCAN was carried out for a PBEsol-optimized structure of LiSiBiO4.

Output
Symmetry: Pbcn, No. 60
DOS(E_F): 0.0 states/eV/cell
Raw formation energy: -215.2 kJ/mol of atoms
Total energy: -526.1 eV for the cell shown

abc: 4.846 5.300 12.221
angles: 90.00 90.00 90.00
Sites, in units of the cell vectors:
1 O 0.255 0.103 0.044
2 Li 0.500 0.250 0.736
3 Si 0.000 0.250 0.614
4 O 0.245 0.603 0.456
5 O 0.336 0.955 0.807
6 O 0.745 0.397 0.044
7 O 0.755 0.897 0.456
8 O 0.245 0.103 0.544
9 Bi 0.000 0.750 0.103
10 Si 0.000 0.750 0.386
11 O 0.255 0.603 0.956
12 Bi 0.000 0.250 0.897
13 Si 0.500 0.250 0.114
14 O 0.755 0.397 0.544
15 O 0.836 0.045 0.693
16 Bi 0.500 0.250 0.397
17 Si 0.500 0.750 0.886
18 O 0.336 0.455 0.193
19 O 0.836 0.545 0.307
20 O 0.164 0.955 0.307
21 Li 0.000 0.250 0.236
22 Li 0.500 0.750 0.264
23 O 0.745 0.897 0.956
24 O 0.664 0.045 0.193
25 Bi 0.500 0.750 0.603
26 Li 0.000 0.750 0.764
27 O 0.164 0.455 0.693
28 O 0.664 0.545 0.807

***

A plane-wave DFT calculation with SCAN was carried out for a PBEsol-optimized structure of LiSiBi3O7.

Output
Symmetry: P6_3, No. 173
DOS(E_F): 0.0 states/eV/cell
Raw formation energy: -169.9 kJ/mol of atoms
Total energy: -625.8 eV for the cell shown

abc: 5.116 8.427 8.427
angles: 120.00 90.00 90.00
Sites, in units of the cell vectors:
1 Si 0.328 0.333 0.667
2 O 0.952 0.873 0.403
3 O 0.452 0.469 0.873
4 Bi 0.794 0.643 0.739
5 O 0.679 0.227 0.146
6 O 0.508 0.667 0.333
7 Bi 0.294 0.739 0.096
8 Bi 0.794 0.261 0.904
9 O 0.179 0.146 0.919
10 Bi 0.294 0.904 0.643
11 O 0.452 0.127 0.597
12 Li 0.473 0.000 0.000
13 O 0.452 0.403 0.531
14 O 0.952 0.597 0.469
15 O 0.679 0.854 0.081
16 O 0.179 0.081 0.227
17 O 0.008 0.333 0.667
18 Bi 0.294 0.357 0.261
19 O 0.179 0.773 0.854
20 Li 0.973 0.000 0.000
21 Si 0.828 0.667 0.333
22 O 0.679 0.919 0.773
23 O 0.952 0.531 0.127
24 Bi 0.794 0.096 0.357

***

A plane-wave DFT calculation with SCAN was carried out for a PBEsol-optimized structure of LiSiBiO4.

Output
Symmetry: Pc, No. 7
DOS(E_F): 0.0 states/eV/cell
Raw formation energy: -207.5 kJ/mol of atoms
Total energy: -523.9 eV for the cell shown

abc: 5.305 8.637 8.696
angles: 105.39 90.00 90.00
Sites, in units of the cell vectors:
1 O 0.758 0.889 0.027
2 Bi 0.152 0.972 0.085
3 O 0.379 0.288 0.510
4 O 0.111 0.744 0.845
5 Si 0.323 0.248 0.979
6 Li 0.162 0.356 0.365
7 Li 0.666 0.867 0.230
8 O 0.350 0.771 0.210
9 O 0.692 0.568 0.884
10 O 0.806 0.381 0.398
11 Si 0.798 0.741 0.863
12 Si 0.677 0.248 0.479
13 O 0.194 0.381 0.898
14 Li 0.838 0.356 0.865
15 Bi 0.349 0.505 0.733
16 O 0.242 0.889 0.527
17 O 0.255 0.062 0.874
18 Li 0.334 0.867 0.730
19 O 0.308 0.568 0.384
20 O 0.811 0.249 0.650
21 Bi 0.848 0.972 0.585
22 O 0.889 0.744 0.345
23 O 0.189 0.249 0.150
24 Si 0.202 0.741 0.363
25 O 0.621 0.288 0.010
26 Bi 0.651 0.505 0.233
27 O 0.650 0.771 0.710
28 O 0.745 0.062 0.374